Entry from OQMD via LeMat-Bulk: a relaxed structure of CoSnSeO (PBE+U).

Lattice parameters (Å, degrees): 3.4118 6.2765 15.1825 90.00 90.00 90.00
Last column: magnetic moment on the atom in μB.
Fractional coordinates of all 16 atoms:
Se (0.5000, 0.6754, 0.5740)  0.07
Se (0.5000, 0.1754, 0.9260)  0.07
Se (0.0000, 0.8246, 0.0740)  0.07
Se (0.0000, 0.3246, 0.4260)  0.07
O (0.5000, 0.8277, 0.3827)  0.10
O (0.0000, 0.6723, 0.8827)  0.10
O (0.0000, 0.1723, 0.6173)  0.10
O (0.5000, 0.3277, 0.1173)  0.10
Sn (0.0000, 0.3920, 0.8120)  0.05
Sn (0.5000, 0.6080, 0.1880)  0.05
Sn (0.5000, 0.1080, 0.3120)  0.05
Sn (0.0000, 0.8919, 0.6880)  0.05
Co (0.5000, 0.2718, 0.5620)  2.60
Co (0.5000, 0.7718, 0.9380)  2.60
Co (0.0000, 0.2282, 0.0620)  2.60
Co (0.0000, 0.7282, 0.4380)  2.60

calculated total energy	-4.88	eV/atom
volume	81	Å³/f.u.